Below is a geometry-optimized Ac4In5Au6 structure, with properties calculated at the PBE-GGA level.

Lattice parameters (Å, degrees): 4.507 11.384 16.626 90.00 90.00 101.42
Fractional positions:
1 Ac 0.988 0.977 0.013
2 Ac 0.162 0.323 0.302
3 Ac 0.814 0.628 0.441
4 Ac 0.012 0.023 0.513
5 Ac 0.038 0.076 0.776
6 Ac 0.962 0.924 0.276
7 Ac 0.838 0.677 0.802
8 Ac 0.186 0.372 0.941
9 Au 0.446 0.892 0.854
10 Au 0.239 0.478 0.757
11 Au 0.781 0.562 0.984
12 Au 0.554 0.108 0.354
13 Au 0.884 0.768 0.614
14 Au 0.116 0.232 0.114
15 Au 0.219 0.438 0.484
16 Au 0.573 0.146 0.634
17 Au 0.574 0.149 0.914
18 Au 0.426 0.851 0.414
19 Au 0.427 0.854 0.134
20 Au 0.761 0.522 0.257
21 In 0.847 0.693 0.128
22 In 0.305 0.610 0.614
23 In 0.555 0.110 0.174
24 In 0.663 0.326 0.771
25 In 0.153 0.307 0.628
26 In 0.445 0.890 0.674
27 In 0.360 0.720 0.981
28 In 0.640 0.280 0.481
29 In 0.695 0.390 0.114
30 In 0.337 0.674 0.271

Calculated formation energy in eV per atom: -0.62

=====

Below is a geometry-optimized Ce6SbOs3 structure, with properties calculated at the PBE-GGA level.

Lattice parameters (Å, degrees): 4.173 11.347 11.886 106.13 90.00 90.00
Site moments in Bohr magnetons follow the coordinates.
Fractional positions:
1 Os 0.250 0.322 0.503  -0.08
2 Os 0.750 0.678 0.497  -0.08
3 Os 0.250 0.843 0.918  -0.08
4 Os 0.250 0.533 0.165  -0.07
5 Os 0.750 0.467 0.835  -0.07
6 Os 0.750 0.157 0.082  -0.08
7 Ce 0.750 0.148 0.457  0.57
8 Ce 0.250 0.852 0.543  0.57
9 Ce 0.250 0.085 0.911  0.43
10 Ce 0.750 0.778 0.769  0.49
11 Ce 0.250 0.290 0.738  0.54
12 Ce 0.250 0.521 0.389  0.28
13 Ce 0.750 0.479 0.611  0.28
14 Ce 0.750 0.915 0.089  0.43
15 Ce 0.750 0.390 0.047  0.23
16 Ce 0.750 0.710 0.262  0.54
17 Ce 0.250 0.610 0.953  0.23
18 Ce 0.250 0.222 0.231  0.49
19 Sb 0.750 0.053 0.691  -0.02
20 Sb 0.250 0.947 0.309  -0.02

Formation energy from raw total energies in meV/atom: -297.7

=====

Below is a geometry-optimized ThScSn2 structure, with properties calculated at the PBE-GGA level.

Lattice parameters (Å, degrees): 5.002 5.002 5.840 67.70 67.70 55.55
Fractional positions:
1 Sn 0.264 0.264 0.202
2 Sn 0.736 0.736 0.798
3 Sc 0.000 0.000 0.000
4 Th 0.500 0.500 0.500

Relative energy among the computed polymorphs in kcal/mol of atoms: 0.00
Calculated formation energy in eV per atom: -0.52

=====

Below is a geometry-optimized MnBeRe2 structure, with properties calculated at the PBE-GGA level.

Lattice parameters (Å, degrees): 4.623 4.623 4.623 133.18 133.18 68.38
Site moments in Bohr magnetons follow the coordinates.
Fractional positions:
1 Re 0.000 0.000 0.000  -0.08
2 Re 0.500 0.500 0.000  -0.08
3 Be 0.250 0.750 0.500  -0.02
4 Mn 0.750 0.250 0.500  1.98

Calculated formation energy in eV per atom: 0.13

=====

Number 1: magnetization 0.0000 μB per atom, calculated total energy -3.936 eV/atom. Number 2: magnetization 0.2900 μB per atom, calculated total energy -7.639 eV/atom. Number 3: magnetization 0.0000 μB per atom, calculated total energy -5.959 eV/atom. Number 4: magnetization 0.4648 μB per atom, calculated total energy -9.321 eV/atom.